Compound: Hf2NbAl
Source: the Alexandria database
Functional: PBE
Structure: relaxed

Results
Fermi-level density of states: 1.240 states/eV per atom
Space group: P4/mmm
Energy of formation from the pure elements: -19 kJ per mole of atoms

Cell: 3.469 3.469 6.525 Å, 90.00 90.00 90.00°
Fractional positions:
1 Hf 0.000 0.000 0.246
2 Nb 0.500 0.500 0.000
3 Hf 0.000 0.000 0.754
4 Al 0.500 0.500 0.500